DFT (PBE) results for a relaxed structure of Cs2SiAuSe4.

Cell: 13.830 12.228 8.007 Å, 83.44 61.45 35.11°
Atoms (fractional coordinates):
Cs  0.053  0.053  0.697
Cs  0.303  0.303  0.947
Cs  0.697  0.697  0.053
Cs  0.947  0.947  0.303
Si  0.375  0.375  0.375
Si  0.625  0.625  0.625
Au  0.125  0.125  0.125
Au  0.875  0.875  0.875
Se  0.019  0.627  0.548
Se  0.306  0.548  0.627
Se  0.373  0.981  0.694
Se  0.452  0.694  0.981
Se  0.548  0.306  0.019
Se  0.627  0.019  0.306
Se  0.694  0.452  0.373
Se  0.981  0.373  0.452

Values from the calculation:
Symmetry ... Fddd
Density of states at the Fermi level ... 0.609 states/eV/atom
E_form (uncorrected) ... -0.701 eV per atom
Calculated total energy ... -59.91 eV for the cell shown
Spin magnetization ... 0.0 μB per formula unit